No. 1
{
  "formula": "RbInCu",
  "functional": "PBE",
  "state": "relaxed",
  "cell": [[0.0000, 3.6420, 3.6420], [3.6420, 0.0000, 3.6420], [3.6420, 3.6420, 0.0000]],
  "species": ["Rb", "In", "Cu"],
  "fractional_positions": [[0.0000, 0.0000, 0.0000], [0.5000, 0.5000, 0.5000], [0.7500, 0.7500, 0.7500]],
  "de_polymorph_mev_per_atom": 0,
  "rho_g_cm3": 4.5,
  "sg": "F-43m (216)"
}

No. 2
{
  "formula": "PrCdH2Cl2O2",
  "functional": "PBE",
  "state": "relaxed",
  "cell": [[3.9934, 0.0000, 0.0000], [-1.9967, 3.4584, 0.0000], [0.0000, 0.0000, 10.0812]],
  "species": ["Pr", "Cd", "H", "H", "Cl", "Cl", "O", "O"],
  "fractional_positions": [[0.0000, 0.0000, 0.0000], [0.3333, 0.6667, 0.4795], [0.6667, 0.3333, 0.1663], [0.6667, 0.3333, 0.6305], [0.0000, 0.0000, 0.2770], [0.3333, 0.6667, 0.8182], [0.6667, 0.3333, 0.0684], [0.6667, 0.3333, 0.5330]],
  "e_tot_ev_per_cell": -37.78,
  "rho_g_cm3": 4.3,
  "sg": "P3m1 (156)"
}

No. 3
{
  "formula": "ZrGaFeAu",
  "functional": "PBE",
  "state": "relaxed",
  "cell": [[0.0000, 3.2436, 3.2436], [3.2436, 0.0000, 3.2436], [3.2436, 3.2436, 0.0000]],
  "species": ["Zr", "Ga", "Fe", "Au"],
  "fractional_positions": [[0.0000, 0.0000, 0.0000], [0.2500, 0.2500, 0.2500], [0.5000, 0.5000, 0.5000], [0.7500, 0.7500, 0.7500]],
  "de_polymorph_mev_per_atom": 5,
  "rho_g_cm3": 10.1,
  "sg": "F-43m (216)"
}

> What is the formula in the third record?

ZrGaFeAu